(1)
Below is a relaxed AgBr2NCl crystal, with properties calculated at the PBEsol level.

Cell lengths 4.212, 4.709, 4.709 Å; angles 90.00, 90.00, 90.00 degrees
Positions (direct):
Cl 0.500 0.000 0.000
N 0.000 0.000 0.000
Br 0.000 0.500 0.000
Br 0.000 0.000 0.500
Ag 0.500 0.500 0.500


(2)
Below is a relaxed NaAgBr2Cl crystal, with properties calculated at the PBEsol level.

Cell lengths 5.034, 5.034, 6.168 Å; angles 90.00, 90.00, 90.00 degrees
Site moments in Bohr magnetons follow the coordinates.
Positions (direct):
Cl 0.500 0.500 0.500  0.18
Br 0.000 0.500 0.000  0.22
Br 0.500 0.000 0.000  0.22
Ag 0.000 0.000 0.500  0.00
Na 0.000 0.000 0.000  0.00


(3)
Below is a relaxed NbAg2BrCl crystal, with properties calculated at the PBEsol level.

Cell lengths 4.878, 5.061, 5.061 Å; angles 90.00, 90.00, 90.00 degrees
Site moments in Bohr magnetons follow the coordinates.
Positions (direct):
Br 0.000 0.000 0.000  0.01
Cl 0.500 0.500 0.500  0.01
Ag 0.000 0.000 0.500  0.01
Ag 0.000 0.500 0.000  0.01
Nb 0.500 0.000 0.000  1.84


no.,Fermi-level density of states (states/eV/f.u.),volume (A^3/atom),calculated total energy (eV/f.u.)
1,1.76,18.68,-13.749
2,5.17,31.26,-9.955
3,4.87,24.98,-16.283